[1]
Entry from the Alexandria database: crystalline Na7Cd3Ag at its relaxed geometry (PBE).

Computed properties:
- ΔE_f: 47 kJ/mol of formula units
- D(E_F): 6.5 states/eV/cell
- Uncorrected energy: -14.34 eV for the cell shown
- Relative energy among the computed polymorphs: 82.7 meV/atom
- Size of the total moment: 0.00 μB per formula unit

Lattice parameters (Å, degrees): 7.707 7.707 6.957 90.00 90.00 120.00
Element x y z (fractional)
Na 0.000 0.000 0.000
Na 0.341 0.170 0.503
Na 0.503 0.005 0.899
Na 0.503 0.497 0.899
Na 0.830 0.170 0.503
Na 0.830 0.659 0.503
Na 0.995 0.497 0.899
Cd 0.202 0.404 0.246
Cd 0.202 0.798 0.246
Cd 0.596 0.798 0.246
Ag 0.333 0.667 0.582

---

[2]
Entry from the Alexandria database: crystalline NaCd2Ag at its relaxed geometry (PBE).

Computed properties:
- ΔE_f: -22 kJ/mol of formula units
- D(E_F): 1.4 states/eV/cell
- Uncorrected energy: -6.23 eV for the cell shown
- Size of the total moment: 0.00 μB per formula unit

Lattice parameters (Å, degrees): 4.938 4.938 4.938 60.00 60.00 60.00
Element x y z (fractional)
Na 0.000 0.000 0.000
Cd 0.250 0.250 0.250
Cd 0.750 0.750 0.750
Ag 0.500 0.500 0.500

---

[3]
Entry from the Alexandria database: crystalline Na5Cd2Ag at its relaxed geometry (PBE).

Computed properties:
- ΔE_f: -18 kJ/mol of formula units
- D(E_F): 4.7 states/eV/cell
- Uncorrected energy: -22.93 eV for the cell shown
- Relative energy among the computed polymorphs: 3.9 meV/atom
- Size of the total moment: 0.00 μB per formula unit

Lattice parameters (Å, degrees): 7.924 14.451 3.789 90.00 90.00 90.00
Element x y z (fractional)
Na 0.000 0.000 0.000
Na 0.014 0.237 0.000
Na 0.219 0.385 0.500
Na 0.281 0.885 0.500
Na 0.486 0.737 0.000
Na 0.500 0.500 0.000
Na 0.514 0.263 0.000
Na 0.719 0.115 0.500
Na 0.781 0.615 0.500
Na 0.986 0.763 0.000
Cd 0.208 0.612 0.500
Cd 0.292 0.112 0.500
Cd 0.708 0.888 0.500
Cd 0.792 0.388 0.500
Ag 0.000 0.500 0.000
Ag 0.500 0.000 0.000

---

[4]
Entry from the Alexandria database: crystalline Na5Cd6Ag at its relaxed geometry (PBE).

Computed properties:
- ΔE_f: -37 kJ/mol of formula units
- D(E_F): 4.1 states/eV/cell
- Uncorrected energy: -15.32 eV for the cell shown
- Size of the total moment: 0.00 μB per formula unit

Lattice parameters (Å, degrees): 5.757 5.757 10.692 95.56 95.56 120.97
Element x y z (fractional)
Na 0.000 0.000 0.000
Na 0.166 0.834 0.500
Na 0.332 0.668 0.000
Na 0.668 0.332 0.000
Na 0.834 0.166 0.500
Cd 0.103 0.418 0.258
Cd 0.263 0.263 0.744
Cd 0.418 0.103 0.258
Cd 0.582 0.897 0.742
Cd 0.737 0.737 0.256
Cd 0.897 0.582 0.742
Ag 0.500 0.500 0.500

---

[5]
Entry from the Alexandria database: crystalline Na7Cd3Ag at its relaxed geometry (PBE).

Computed properties:
- ΔE_f: -40 kJ/mol of formula units
- D(E_F): 6.3 states/eV/cell
- Uncorrected energy: -30.50 eV for the cell shown
- Relative energy among the computed polymorphs: 0.0 meV/atom
- Size of the total moment: 0.00 μB per formula unit

Lattice parameters (Å, degrees): 12.798 12.798 15.336 90.00 90.00 165.66
Element x y z (fractional)
Na 0.050 0.950 0.638
Na 0.050 0.950 0.862
Na 0.084 0.916 0.090
Na 0.084 0.916 0.410
Na 0.181 0.819 0.750
Na 0.221 0.779 0.099
Na 0.221 0.779 0.401
Na 0.779 0.221 0.599
Na 0.779 0.221 0.901
Na 0.819 0.181 0.250
Na 0.916 0.084 0.590
Na 0.916 0.084 0.910
Na 0.950 0.050 0.138
Na 0.950 0.050 0.362
Cd 0.346 0.654 0.063
Cd 0.346 0.654 0.437
Cd 0.349 0.651 0.750
Cd 0.651 0.349 0.250
Cd 0.654 0.346 0.563
Cd 0.654 0.346 0.937
Ag 0.465 0.535 0.750
Ag 0.535 0.465 0.250

---

[6]
Entry from the Alexandria database: crystalline Na3Cd4Ag4 at its relaxed geometry (PBE).

Computed properties:
- ΔE_f: -31 kJ/mol of formula units
- D(E_F): 4.0 states/eV/cell
- Uncorrected energy: -19.35 eV for the cell shown
- Relative energy among the computed polymorphs: 9.2 meV/atom
- Size of the total moment: 0.00 μB per formula unit

Lattice parameters (Å, degrees): 8.684 8.684 8.684 148.06 128.60 61.80
Element x y z (fractional)
Na 0.000 0.000 0.000
Na 0.370 0.870 0.500
Na 0.630 0.130 0.500
Cd 0.211 0.211 0.000
Cd 0.305 0.500 0.805
Cd 0.695 0.500 0.195
Cd 0.789 0.789 0.000
Ag 0.014 0.321 0.693
Ag 0.372 0.679 0.693
Ag 0.628 0.321 0.307
Ag 0.986 0.679 0.307

---

[7]
Entry from the Alexandria database: crystalline Na12Cd6Ag at its relaxed geometry (PBE).

Computed properties:
- ΔE_f: -125 kJ/mol of formula units
- D(E_F): 6.4 states/eV/cell
- Uncorrected energy: -25.47 eV for the cell shown
- Size of the total moment: 0.00 μB per formula unit

Lattice parameters (Å, degrees): 8.138 8.138 8.138 87.04 87.04 87.04
Element x y z (fractional)
Na 0.026 0.929 0.307
Na 0.071 0.693 0.974
Na 0.127 0.472 0.351
Na 0.307 0.026 0.929
Na 0.351 0.127 0.472
Na 0.472 0.351 0.127
Na 0.528 0.649 0.873
Na 0.649 0.873 0.528
Na 0.693 0.974 0.071
Na 0.873 0.528 0.649
Na 0.929 0.307 0.026
Na 0.974 0.071 0.693
Cd 0.243 0.753 0.605
Cd 0.247 0.395 0.757
Cd 0.395 0.757 0.247
Cd 0.605 0.243 0.753
Cd 0.753 0.605 0.243
Cd 0.757 0.247 0.395
Ag 0.500 0.500 0.500

---

[8]
Entry from the Alexandria database: crystalline Na3Cd2Ag at its relaxed geometry (PBE).

Computed properties:
- ΔE_f: -32 kJ/mol of formula units
- D(E_F): 3.0 states/eV/cell
- Uncorrected energy: -17.95 eV for the cell shown
- Relative energy among the computed polymorphs: 0.0 meV/atom
- Size of the total moment: 0.00 μB per formula unit

Lattice parameters (Å, degrees): 7.454 7.454 5.827 90.00 90.00 103.44
Element x y z (fractional)
Na 0.070 0.588 0.250
Na 0.075 0.925 0.750
Na 0.412 0.930 0.250
Na 0.588 0.070 0.750
Na 0.925 0.075 0.250
Na 0.930 0.412 0.750
Cd 0.323 0.323 0.000
Cd 0.323 0.323 0.500
Cd 0.677 0.677 0.000
Cd 0.677 0.677 0.500
Ag 0.333 0.667 0.750
Ag 0.667 0.333 0.250

---

[9]
Entry from the Alexandria database: crystalline NaCd8Ag4 at its relaxed geometry (PBE).

Computed properties:
- ΔE_f: -87 kJ/mol of formula units
- D(E_F): 4.4 states/eV/cell
- Uncorrected energy: -20.95 eV for the cell shown
- Size of the total moment: 0.00 μB per formula unit

Lattice parameters (Å, degrees): 7.595 7.595 7.595 98.03 98.03 136.11
Element x y z (fractional)
Na 0.000 0.000 0.000
Cd 0.000 0.342 0.342
Cd 0.000 0.658 0.658
Cd 0.285 0.500 0.785
Cd 0.342 0.000 0.342
Cd 0.500 0.285 0.785
Cd 0.500 0.715 0.215
Cd 0.658 0.000 0.658
Cd 0.715 0.500 0.215
Ag 0.000 0.000 0.500
Ag 0.000 0.500 0.000
Ag 0.500 0.000 0.000
Ag 0.500 0.500 0.500

---

[10]
Entry from the Alexandria database: crystalline Na7Cd2Ag2 at its relaxed geometry (PBE).

Computed properties:
- ΔE_f: 10 kJ/mol of formula units
- D(E_F): 5.5 states/eV/cell
- Uncorrected energy: -16.67 eV for the cell shown
- Relative energy among the computed polymorphs: 39.4 meV/atom
- Size of the total moment: 0.00 μB per formula unit

Lattice parameters (Å, degrees): 10.548 10.548 10.548 161.61 61.24 122.15
Element x y z (fractional)
Na 0.000 0.000 0.000
Na 0.335 0.662 0.672
Na 0.350 0.458 0.892
Na 0.566 0.458 0.108
Na 0.613 0.268 0.344
Na 0.924 0.268 0.656
Na 0.990 0.662 0.328
Cd 0.267 0.767 0.500
Cd 0.697 0.697 0.000
Ag 0.207 0.955 0.253
Ag 0.702 0.955 0.747

---

[11]
Entry from the Alexandria database: crystalline NaCd4Ag6 at its relaxed geometry (PBE).

Computed properties:
- ΔE_f: 82 kJ/mol of formula units
- D(E_F): 3.5 states/eV/cell
- Uncorrected energy: -21.24 eV for the cell shown
- Size of the total moment: 0.00 μB per formula unit

Lattice parameters (Å, degrees): 7.322 7.322 7.322 123.79 123.79 83.55
Element x y z (fractional)
Na 0.000 0.000 0.000
Cd 0.091 0.539 0.000
Cd 0.461 0.461 0.553
Cd 0.539 0.091 0.000
Cd 0.909 0.909 0.447
Ag 0.000 0.500 0.500
Ag 0.253 0.253 0.679
Ag 0.426 0.747 0.000
Ag 0.500 0.000 0.500
Ag 0.574 0.574 0.321
Ag 0.747 0.426 0.000

---

[12]
Entry from the Alexandria database: crystalline NaCd8Ag2 at its relaxed geometry (PBE).

Computed properties:
- ΔE_f: -32 kJ/mol of formula units
- D(E_F): 3.6 states/eV/cell
- Uncorrected energy: -14.67 eV for the cell shown
- Relative energy among the computed polymorphs: 0.0 meV/atom
- Size of the total moment: 0.00 μB per formula unit

Lattice parameters (Å, degrees): 8.032 8.032 7.100 107.05 107.05 33.04
Element x y z (fractional)
Na 0.000 0.000 0.000
Cd 0.097 0.097 0.476
Cd 0.187 0.187 0.915
Cd 0.362 0.362 0.790
Cd 0.449 0.449 0.267
Cd 0.551 0.551 0.733
Cd 0.638 0.638 0.210
Cd 0.813 0.813 0.085
Cd 0.903 0.903 0.524
Ag 0.264 0.264 0.352
Ag 0.736 0.736 0.648

---

[13]
Entry from the Alexandria database: crystalline Na2CdAg3 at its relaxed geometry (PBE).

Computed properties:
- ΔE_f: -60 kJ/mol of formula units
- D(E_F): 2.2 states/eV/cell
- Uncorrected energy: -12.73 eV for the cell shown
- Relative energy among the computed polymorphs: 0.0 meV/atom
- Size of the total moment: 0.00 μB per formula unit

Lattice parameters (Å, degrees): 5.709 5.709 5.714 119.27 119.27 60.51
Element x y z (fractional)
Na 0.122 0.122 0.367
Na 0.878 0.878 0.633
Cd 0.500 0.500 0.500
Ag 0.000 0.500 0.000
Ag 0.500 0.000 0.000
Ag 0.500 0.500 0.000

---

[14]
Entry from the Alexandria database: crystalline Na3CdAg at its relaxed geometry (PBE).

Computed properties:
- ΔE_f: 78 kJ/mol of formula units
- D(E_F): 2.4 states/eV/cell
- Uncorrected energy: -6.92 eV for the cell shown
- Relative energy among the computed polymorphs: 170.1 meV/atom
- Size of the total moment: 0.00 μB per formula unit

Lattice parameters (Å, degrees): 5.606 5.606 5.606 90.00 90.00 90.00
Element x y z (fractional)
Na 0.000 0.000 0.500
Na 0.000 0.500 0.000
Na 0.500 0.000 0.000
Cd 0.500 0.500 0.500
Ag 0.000 0.000 0.000

---

[15]
Entry from the Alexandria database: crystalline NaCd7Ag5 at its relaxed geometry (PBE).

Computed properties:
- ΔE_f: -90 kJ/mol of formula units
- D(E_F): 3.5 states/eV/cell
- Uncorrected energy: -22.91 eV for the cell shown
- Size of the total moment: 0.00 μB per formula unit

Lattice parameters (Å, degrees): 7.560 7.560 5.658 111.94 111.94 82.20
Element x y z (fractional)
Na 0.000 0.000 0.000
Cd 0.197 0.801 0.498
Cd 0.336 0.648 0.992
Cd 0.337 0.337 0.337
Cd 0.646 0.646 0.645
Cd 0.648 0.336 0.992
Cd 0.774 0.774 0.274
Cd 0.801 0.197 0.498
Ag 0.221 0.221 0.721
Ag 0.496 0.995 0.996
Ag 0.496 0.996 0.495
Ag 0.995 0.496 0.996
Ag 0.996 0.496 0.495

---

[16]
Entry from the Alexandria database: crystalline Na2Cd2Ag at its relaxed geometry (PBE).

Computed properties:
- ΔE_f: -31 kJ/mol of formula units
- D(E_F): 1.6 states/eV/cell
- Uncorrected energy: -7.64 eV for the cell shown
- Relative energy among the computed polymorphs: 11.4 meV/atom
- Size of the total moment: 0.00 μB per formula unit

Lattice parameters (Å, degrees): 7.804 7.804 3.239 90.30 90.30 37.04
Element x y z (fractional)
Na 0.106 0.106 0.497
Na 0.894 0.894 0.503
Cd 0.305 0.305 0.001
Cd 0.695 0.695 0.999
Ag 0.500 0.500 0.000

---

[17]
Entry from the Alexandria database: crystalline NaCd2Ag at its relaxed geometry (PBE).

Computed properties:
- ΔE_f: -13 kJ/mol of formula units
- D(E_F): 2.0 states/eV/cell
- Uncorrected energy: -6.13 eV for the cell shown
- Size of the total moment: 0.00 μB per formula unit

Lattice parameters (Å, degrees): 4.443 4.443 4.397 90.00 90.00 90.00
Element x y z (fractional)
Na 0.000 0.000 0.000
Cd 0.000 0.500 0.500
Cd 0.500 0.000 0.500
Ag 0.500 0.500 0.000

---

[18]
Entry from the Alexandria database: crystalline NaCdAg6 at its relaxed geometry (PBE).

Computed properties:
- ΔE_f: -11 kJ/mol of formula units
- D(E_F): 3.8 states/eV/cell
- Uncorrected energy: -19.46 eV for the cell shown
- Size of the total moment: 0.00 μB per formula unit

Lattice parameters (Å, degrees): 5.989 5.989 4.835 90.00 90.00 120.00
Element x y z (fractional)
Na 0.000 0.000 0.000
Cd 0.667 0.333 0.500
Ag 0.002 0.501 0.000
Ag 0.170 0.340 0.500
Ag 0.170 0.830 0.500
Ag 0.499 0.501 0.000
Ag 0.499 0.998 0.000
Ag 0.660 0.830 0.500

---

[19]
Entry from the Alexandria database: crystalline Na3Cd7Ag2 at its relaxed geometry (PBE).

Computed properties:
- ΔE_f: -109 kJ/mol of formula units
- D(E_F): 2.7 states/eV/cell
- Uncorrected energy: -17.19 eV for the cell shown
- Size of the total moment: 0.00 μB per formula unit

Lattice parameters (Å, degrees): 10.181 10.181 10.181 33.89 33.89 33.89
Element x y z (fractional)
Na 0.000 0.000 0.000
Na 0.144 0.144 0.144
Na 0.856 0.856 0.856
Cd 0.079 0.583 0.583
Cd 0.417 0.417 0.921
Cd 0.417 0.921 0.417
Cd 0.500 0.500 0.500
Cd 0.583 0.079 0.583
Cd 0.583 0.583 0.079
Cd 0.921 0.417 0.417
Ag 0.334 0.334 0.334
Ag 0.666 0.666 0.666

---

[20]
Entry from the Alexandria database: crystalline NaCd7Ag4 at its relaxed geometry (PBE).

Computed properties:
- ΔE_f: 57 kJ/mol of formula units
- D(E_F): 3.7 states/eV/cell
- Uncorrected energy: -18.54 eV for the cell shown
- Size of the total moment: 0.00 μB per formula unit

Lattice parameters (Å, degrees): 6.853 6.853 10.252 122.81 122.81 44.13
Element x y z (fractional)
Na 0.000 0.000 0.000
Cd 0.065 0.065 0.358
Cd 0.217 0.217 0.872
Cd 0.345 0.345 0.414
Cd 0.500 0.500 0.000
Cd 0.655 0.655 0.586
Cd 0.783 0.783 0.128
Cd 0.935 0.935 0.642
Ag 0.304 0.304 0.665
Ag 0.426 0.426 0.213
Ag 0.574 0.574 0.787
Ag 0.696 0.696 0.335